! AcEuBiAu | the Alexandria database | PBE | relaxed; values from VASP
&SYSTEM
  ibrav = 0, nat = 4, ntyp = 4
/
ATOMIC_SPECIES
Ac 227.00 Ac.upf
Eu 151.96 Eu.upf
Bi 208.98 Bi.upf
Au 196.97 Au.upf
CELL_PARAMETERS angstrom
0.000 3.992 3.992
3.992 0.000 3.992
3.992 3.992 0.000
ATOMIC_POSITIONS angstrom
Ac 0.000 0.000 0.000
Eu 3.992 3.992 3.992
Bi 1.996 1.996 1.996
Au 5.987 5.987 5.987
! - ΔE_f: -765 meV/atom


! Mg3SiOs | the Alexandria database | PBE | relaxed; values from VASP
&SYSTEM
  ibrav = 0, nat = 5, ntyp = 3
/
ATOMIC_SPECIES
Mg 24.30 Mg.upf
Si 28.09 Si.upf
Os 190.23 Os.upf
CELL_PARAMETERS angstrom
4.842 0.000 0.000
0.000 4.842 0.000
0.000 0.000 4.842
ATOMIC_POSITIONS angstrom
Mg 0.000 0.000 2.421
Mg 0.000 2.421 0.000
Mg 2.421 0.000 0.000
Si 0.000 0.000 0.000
Os 2.421 2.421 2.421
! - Energy relative to the lowest polymorph listed for this composition: 0.210 eV per atom
! - Formation energy without anion corrections: 1.0571 eV/atom


! Sr3Al2Hg4Sb2 | the Alexandria database | PBE | relaxed; values from VASP
&SYSTEM
  ibrav = 0, nat = 11, ntyp = 4
/
ATOMIC_SPECIES
Sr 87.62 Sr.upf
Al 26.98 Al.upf
Hg 200.59 Hg.upf
Sb 121.76 Sb.upf
CELL_PARAMETERS angstrom
-2.591 2.591 13.288
2.591 -2.591 13.288
2.591 2.591 -13.288
ATOMIC_POSITIONS angstrom
Sr 0.000 0.000 0.000
Sr 0.000 0.000 4.965
Sr 0.000 0.000 21.610
Al 0.000 0.000 10.914
Al 0.000 0.000 15.661
Hg 2.591 0.000 2.119
Hg 2.591 0.000 11.169
Hg 0.000 2.591 2.119
Hg 0.000 2.591 11.169
Sb 0.000 0.000 8.240
Sb 0.000 0.000 18.335
! - Formation energy without anion corrections: -0.3501 eV/atom


no.,calculated density (g/cm³),N(E_F) (states/eV/cell)
1,10.247,3.67
2,4.260,4.50
3,6.340,3.30